Entry 1:
Compound: Rb3TeS4
Source: the Alexandria database
Functional: GGA-PBE
Structure: optimized geometry

abc: 9.5915 10.3149 11.3159
angles: 90.00 90.00 90.00
Closest atoms and distances in Å follow each position.
Positions (direct):
Rb (0.0694, 0.3040, 0.9551)  5 S 3.37-3.55
S (0.6001, 0.5218, 0.5486)  1 S 2.26
S (0.6836, 0.7673, 0.2500)  1 Te 2.38
S (0.3999, 0.4782, 0.0486)  1 S 2.26
Rb (0.5694, 0.1960, 0.9551)  5 S 3.37-3.55
S (0.1001, 0.9782, 0.5486)  1 S 2.26
Rb (0.1484, 0.0674, 0.2500)  6 S 3.33-3.53
S (0.4957, 0.9058, 0.7500)  1 Te 2.44
S (0.9957, 0.5942, 0.7500)  1 Te 2.44
Rb (0.9306, 0.6960, 0.0449)  5 S 3.37-3.55
S (0.3999, 0.4782, 0.4514)  1 S 2.26
S (0.0043, 0.4058, 0.2500)  1 Te 2.44
Te (0.2347, 0.5071, 0.2500)  2 S 2.38-2.44
S (0.8999, 0.0218, 0.0486)  1 S 2.26
S (0.1001, 0.9782, 0.9514)  1 S 2.26
Rb (0.0694, 0.3040, 0.5449)  5 S 3.37-3.55
Rb (0.8516, 0.9326, 0.7500)  6 S 3.33-3.53
Rb (0.6484, 0.4326, 0.2500)  6 S 3.33-3.53
S (0.6001, 0.5218, 0.9514)  1 S 2.26
S (0.8164, 0.2673, 0.7500)  1 Te 2.38
Rb (0.4306, 0.8040, 0.0449)  5 S 3.37-3.55
Te (0.7653, 0.4929, 0.7500)  2 S 2.38-2.44
Rb (0.3516, 0.5674, 0.7500)  6 S 3.33-3.53
Rb (0.9306, 0.6960, 0.4551)  5 S 3.37-3.55
Rb (0.5694, 0.1960, 0.5449)  5 S 3.37-3.55
S (0.1836, 0.7327, 0.2500)  1 Te 2.38
S (0.5043, 0.0942, 0.2500)  1 Te 2.44
Rb (0.4306, 0.8040, 0.4551)  5 S 3.37-3.55
S (0.3164, 0.2327, 0.7500)  1 Te 2.38
S (0.8999, 0.0218, 0.4514)  1 S 2.26
Te (0.2653, 0.0071, 0.7500)  2 S 2.38-2.44
Te (0.7347, 0.9929, 0.2500)  2 S 2.38-2.44

Summary:
Raw formation energy: -16.5 kcal/mol of atoms
Distance to the lowest polymorph of the same formula: 0.000 eV/atom
E_tot: -3.53 eV/atom

=====

Entry 2:
Compound: Rb2Te2S5
Source: the Alexandria database
Functional: GGA-PBE
Structure: optimized geometry

abc: 5.2438 8.4714 8.2552
angles: 108.77 90.00 108.03
Closest atoms and distances in Å follow each position.
Positions (direct):
Rb (0.4486, 0.8972, 0.7001)  8 S 3.47-3.77
S (0.0000, 0.0000, 0.0000)  2 Te 2.66
Te (0.8468, 0.6936, 0.0562)  1 S 2.32
S (0.3270, 0.6541, 0.9757)  3 Te 2.70-2.72
Rb (0.5514, 0.1028, 0.2999)  8 S 3.47-3.77
S (0.6730, 0.3459, 0.0243)  3 Te 2.70-2.72
S (0.9070, 0.8140, 0.3540)  1 Te 2.32
Te (0.1532, 0.3064, 0.9438)  1 S 2.32
S (0.0930, 0.1860, 0.6460)  1 Te 2.32

Summary:
Raw formation energy: -9.3 kcal/mol of atoms
E_tot: -3.61 eV/atom

=====

Entry 3:
Compound: Rb2TeS4
Source: the Alexandria database
Functional: GGA-PBE
Structure: optimized geometry

abc: 6.9211 6.9211 8.1788
angles: 121.96 121.96 75.46
Closest atoms and distances in Å follow each position.
Positions (direct):
S (0.9544, 0.3884, 0.0000)  1 Te 2.32
S (0.6116, 0.0456, 0.0000)  1 Te 2.32
S (0.9393, 0.7431, 0.6825)  1 Te 2.33
S (0.2569, 0.0607, 0.3175)  1 Te 2.33
Rb (0.3972, 0.6028, 0.5000)  4 S 3.30-3.41
Rb (0.8972, 0.1028, 0.5000)  4 S 3.30-3.41
Te (0.9432, 0.0568, 0.0000)  4 S 2.32-2.33

Summary:
Raw formation energy: -10.8 kcal/mol of atoms
Distance to the lowest polymorph of the same formula: 0.042 eV/atom
DOS at the Fermi energy: 0.00 states/eV/atom
E_tot: -3.55 eV/atom

=====

Entry 4:
Compound: RbTe2S2
Source: the Alexandria database
Functional: GGA-PBE
Structure: optimized geometry

abc: 5.5948 12.1691 13.8846
angles: 154.37 101.62 90.00
Closest atoms and distances in Å follow each position.
Positions (direct):
S (0.4585, 0.2702, 0.6220)  1 Te 2.33
Te (0.5882, 0.2816, 0.2697)  1 S 2.33
Te (0.6815, 0.7816, 0.2697)  1 S 2.33
S (0.5415, 0.7298, 0.3780)  1 Te 2.33
Rb (0.8845, 0.2500, 0.0000)  6 S 3.48-3.76, 2 Te 3.90
Te (0.4118, 0.7184, 0.7303)  1 S 2.33
Te (0.3185, 0.2184, 0.7303)  1 S 2.33
S (0.8364, 0.2298, 0.3780)  1 Te 2.33
S (0.1636, 0.7702, 0.6220)  1 Te 2.33
Rb (0.1155, 0.7500, 0.0000)  6 S 3.48-3.76, 2 Te 3.90

Summary:
Raw formation energy: -7.4 kcal/mol of atoms
Distance to the lowest polymorph of the same formula: 0.000 eV/atom
DOS at the Fermi energy: 0.31 states/eV/atom
E_tot: -3.42 eV/atom

=====

Entry 5:
Compound: Rb3TeS4
Source: the Alexandria database
Functional: GGA-PBE
Structure: optimized geometry

abc: 6.8305 9.0886 10.8012
angles: 90.00 90.00 90.00
Closest atoms and distances in Å follow each position.
Positions (direct):
S (0.0698, 0.3079, 0.2012)  1 Te 2.49
Rb (0.0611, 0.6764, 0.7693)  5 S 3.17-3.55
Te (0.9936, 0.1867, 0.0000)  4 S 2.36-2.49
Rb (0.0611, 0.6764, 0.2307)  5 S 3.17-3.55
Rb (0.5611, 0.3236, 0.2693)  5 S 3.17-3.55
Rb (0.5611, 0.3236, 0.7307)  5 S 3.17-3.55
S (0.5698, 0.6921, 0.2988)  1 Te 2.49
Te (0.4936, 0.8133, 0.5000)  4 S 2.36-2.49
S (0.6487, 0.2005, 0.0000)  1 Te 2.36
Rb (0.0552, 0.1430, 0.5000)  5 S 3.19-3.56
S (0.1487, 0.7995, 0.5000)  1 Te 2.36
S (0.5698, 0.6921, 0.7012)  1 Te 2.49
S (0.0560, 0.9204, 0.0000)  1 Te 2.46
S (0.5560, 0.0796, 0.5000)  1 Te 2.46
S (0.0698, 0.3079, 0.7988)  1 Te 2.49
Rb (0.5552, 0.8570, 0.0000)  5 S 3.19-3.56

Summary:
Raw formation energy: -14.8 kcal/mol of atoms
Distance to the lowest polymorph of the same formula: 0.072 eV/atom
DOS at the Fermi energy: 0.24 states/eV/atom
E_tot: -3.46 eV/atom

=====

Entry 6:
Compound: Rb5Te2S6
Source: the Alexandria database
Functional: GGA-PBE
Structure: optimized geometry

abc: 5.3650 13.3223 13.3084
angles: 90.00 90.00 90.00
Closest atoms and distances in Å follow each position.
Positions (direct):
Rb (0.5000, 0.5422, 0.2861)  6 S 3.39-3.59
S (0.0000, 0.4165, 0.3861)  1 Te 2.39
S (0.5000, 0.7989, 0.2874)  2 Te 2.76
Te (0.0000, 0.2118, 0.7610)  2 S 2.39-2.47
Te (0.0000, 0.7882, 0.2390)  2 S 2.39-2.47
Rb (0.5000, 0.4578, 0.7139)  6 S 3.39-3.59
S (0.0000, 0.5835, 0.6139)  1 Te 2.39
Rb (0.5000, 0.7163, 0.5342)  6 S 3.38-3.58
S (0.0000, 0.6362, 0.1334)  1 Te 2.47
S (0.5000, 0.2989, 0.2126)  2 Te 2.76
S (0.0000, 0.3638, 0.8666)  1 Te 2.47
Rb (0.5000, 0.2837, 0.4658)  6 S 3.38-3.58
Rb (0.5000, 0.2163, 0.9658)  6 S 3.38-3.58
Te (0.0000, 0.7118, 0.7390)  2 S 2.39-2.47
S (0.0000, 0.8638, 0.6334)  1 Te 2.47
S (0.5000, 0.7011, 0.7874)  2 Te 2.76
Rb (0.5000, 0.9578, 0.7861)  6 S 3.39-3.59
Te (0.0000, 0.2882, 0.2610)  2 S 2.39-2.47
Rb (0.5000, 0.0000, 0.5000)  6 S 3.69-3.90, 4 Rb 3.81-3.85
Rb (0.5000, 0.0422, 0.2139)  6 S 3.39-3.59
S (0.0000, 0.1362, 0.3666)  1 Te 2.47
S (0.5000, 0.2011, 0.7126)  2 Te 2.76
S (0.0000, 0.0835, 0.8861)  1 Te 2.39
S (0.0000, 0.9165, 0.1139)  1 Te 2.39
Rb (0.5000, 0.5000, 0.0000)  6 S 3.69-3.90, 4 Rb 3.81-3.85
Rb (0.5000, 0.7837, 0.0342)  6 S 3.38-3.58

Summary:
Raw formation energy: -15.9 kcal/mol of atoms
DOS at the Fermi energy: 0.18 states/eV/atom
E_tot: -3.45 eV/atom

=====

Entry 7:
Compound: Rb4Te2S5
Source: the Alexandria database
Functional: GGA-PBE
Structure: optimized geometry

abc: 6.8293 6.8293 9.7542
angles: 83.12 83.12 69.47
Closest atoms and distances in Å follow each position.
Positions (direct):
Te (0.6851, 0.6851, 0.3047)  2 S 2.41
Rb (0.9518, 0.9518, 0.0414)  4 S 3.35-3.38, 1 Te 3.65
S (0.8975, 0.4186, 0.1550)  1 Te 2.41
Rb (0.0103, 0.0103, 0.4685)  3 S 3.28-3.52
Rb (0.3919, 0.3919, 0.1804)  5 S 3.26-3.50
S (0.2030, 0.6886, 0.7669)  1 Te 2.38
Rb (0.6803, 0.6803, 0.8339)  6 S 3.38-3.62
S (0.6886, 0.2030, 0.7669)  1 Te 2.38
S (0.4186, 0.8975, 0.1550)  1 Te 2.41
S (0.2947, 0.2947, 0.5117)  1 Te 2.33
Te (0.3212, 0.3212, 0.7442)  3 S 2.33-2.38

Summary:
Raw formation energy: -16.5 kcal/mol of atoms
E_tot: -3.52 eV/atom

=====

Entry 8:
Compound: Rb12Te3S5
Source: the Alexandria database
Functional: GGA-PBE
Structure: optimized geometry

abc: 17.4859 17.4859 17.4859
angles: 109.47 109.47 109.47
Closest atoms and distances in Å follow each position.
Positions (direct):
Te (0.6250, 0.2500, 0.3750)  8 Rb 3.84-3.88
Rb (0.1226, 0.7105, 0.5379)  2 S 3.16-3.28
Rb (0.2105, 0.5379, 0.6226)  2 S 3.16-3.28
Te (0.8750, 0.1250, 0.2500)  8 Rb 3.84-3.88
Rb (0.6726, 0.4621, 0.5847)  2 S 3.16-3.28
S (0.5000, 0.0000, 0.0000)  6 Rb 3.28
S (0.5000, 0.5000, 0.0000)  6 Rb 3.28
Rb (0.9121, 0.8274, 0.7895)  2 S 3.16-3.28
Rb (0.0847, 0.9121, 0.1226)  2 S 3.16-3.28
S (0.5000, 0.0000, 0.5000)  6 Rb 3.28
Rb (0.9153, 0.0879, 0.8774)  2 S 3.16-3.28
Rb (0.6226, 0.0379, 0.2105)  2 S 3.16-3.28
Rb (0.1726, 0.0879, 0.7105)  2 S 3.16-3.28
Te (0.7500, 0.8750, 0.6250)  8 Rb 3.84-3.88
S (0.0000, 0.0000, 0.0000)  6 Rb 3.28
Rb (0.1226, 0.4121, 0.0847)  2 S 3.16-3.28
Rb (0.8774, 0.2895, 0.4621)  2 S 3.16-3.28
S (0.0000, 0.5000, 0.5000)  6 Rb 3.28
Rb (0.0847, 0.1726, 0.4621)  2 S 3.16-3.28
Rb (0.0379, 0.6226, 0.7105)  2 S 3.16-3.28
Te (0.8750, 0.7500, 0.1250)  8 Rb 3.84-3.88
S (0.1250, 0.7500, 0.3750)  4 Rb 3.16
S (0.0000, 0.5000, 0.0000)  6 Rb 3.28
Rb (0.1726, 0.0847, 0.9621)  2 S 3.16-3.28
Rb (0.9621, 0.3774, 0.2895)  2 S 3.16-3.28
Rb (0.2105, 0.6726, 0.0879)  2 S 3.16-3.28
Rb (0.0379, 0.4153, 0.8274)  2 S 3.16-3.28
Te (0.7500, 0.3750, 0.1250)  8 Rb 3.84-3.88
Te (0.1250, 0.2500, 0.8750)  8 Rb 3.84-3.88
S (0.8750, 0.6250, 0.7500)  4 Rb 3.16
S (0.3750, 0.2500, 0.1250)  4 Rb 3.16
Rb (0.5879, 0.8774, 0.4153)  2 S 3.16-3.28
Rb (0.6226, 0.5847, 0.9121)  2 S 3.16-3.28
Rb (0.4153, 0.3774, 0.5879)  2 S 3.16-3.28
S (0.6250, 0.8750, 0.2500)  4 Rb 3.16
S (0.8750, 0.2500, 0.6250)  4 Rb 3.16
Te (0.1250, 0.8750, 0.7500)  8 Rb 3.84-3.88
Rb (0.3274, 0.5379, 0.4153)  2 S 3.16-3.28
Rb (0.7105, 0.1226, 0.0379)  2 S 3.16-3.28
Te (0.2500, 0.6250, 0.8750)  8 Rb 3.84-3.88
Rb (0.9621, 0.5847, 0.1726)  2 S 3.16-3.28
Rb (0.7105, 0.5879, 0.1726)  2 S 3.16-3.28
Te (0.3750, 0.6250, 0.2500)  8 Rb 3.84-3.88
Rb (0.4153, 0.0379, 0.3274)  2 S 3.16-3.28
Rb (0.8274, 0.9121, 0.2895)  2 S 3.16-3.28
S (0.5000, 0.5000, 0.5000)  6 Rb 3.28
Rb (0.7895, 0.3274, 0.9121)  2 S 3.16-3.28
Rb (0.4621, 0.6726, 0.0847)  2 S 3.16-3.28
S (0.1250, 0.3750, 0.2500)  4 Rb 3.16
S (0.2500, 0.3750, 0.6250)  4 Rb 3.16
S (0.7500, 0.1250, 0.8750)  4 Rb 3.16
S (0.2500, 0.8750, 0.1250)  4 Rb 3.16
Te (0.6250, 0.3750, 0.7500)  8 Rb 3.84-3.88
S (0.6250, 0.7500, 0.8750)  4 Rb 3.16
Rb (0.8274, 0.9153, 0.0379)  2 S 3.16-3.28
S (0.7500, 0.6250, 0.3750)  4 Rb 3.16
Rb (0.5879, 0.7105, 0.6726)  2 S 3.16-3.28
Rb (0.3774, 0.4153, 0.0879)  2 S 3.16-3.28
Rb (0.3274, 0.7895, 0.4121)  2 S 3.16-3.28
Rb (0.8774, 0.5879, 0.9153)  2 S 3.16-3.28
S (0.3750, 0.1250, 0.7500)  4 Rb 3.16
Rb (0.5379, 0.2105, 0.1226)  2 S 3.16-3.28
Rb (0.4121, 0.1226, 0.5847)  2 S 3.16-3.28
Rb (0.0879, 0.9153, 0.3774)  2 S 3.16-3.28
Rb (0.9153, 0.8274, 0.5379)  2 S 3.16-3.28
S (0.0000, 0.0000, 0.5000)  6 Rb 3.28
Rb (0.9121, 0.0847, 0.6226)  2 S 3.16-3.28
Te (0.2500, 0.1250, 0.3750)  8 Rb 3.84-3.88
Rb (0.2895, 0.8774, 0.9621)  2 S 3.16-3.28
Rb (0.7895, 0.4621, 0.3774)  2 S 3.16-3.28
Rb (0.6726, 0.2105, 0.5879)  2 S 3.16-3.28
Rb (0.4621, 0.7895, 0.8774)  2 S 3.16-3.28
Rb (0.0879, 0.1726, 0.2105)  2 S 3.16-3.28
Rb (0.5847, 0.9621, 0.6726)  2 S 3.16-3.28
Rb (0.2895, 0.4121, 0.8274)  2 S 3.16-3.28
Rb (0.5379, 0.3274, 0.9153)  2 S 3.16-3.28
Rb (0.4121, 0.2895, 0.3274)  2 S 3.16-3.28
Rb (0.3774, 0.9621, 0.7895)  2 S 3.16-3.28
Te (0.3750, 0.7500, 0.6250)  8 Rb 3.84-3.88
Rb (0.5847, 0.6226, 0.4121)  2 S 3.16-3.28

Summary:
Raw formation energy: -16.8 kcal/mol of atoms
DOS at the Fermi energy: 2.09 states/eV/atom
E_tot: -2.81 eV/atom

=====

Entry 9:
Compound: RbTe2S2
Source: the Alexandria database
Functional: GGA-PBE
Structure: optimized geometry

abc: 5.4540 5.4540 7.1218
angles: 67.49 67.49 90.00
Closest atoms and distances in Å follow each position.
Positions (direct):
S (0.7500, 0.2500, 0.5000)  4 Te 2.78
Te (0.7033, 0.7033, 0.5935)  4 S 2.78
Te (0.2967, 0.2967, 0.4065)  4 S 2.78
Rb (0.0000, 0.0000, 0.0000)  2 Te 3.55
S (0.2500, 0.7500, 0.5000)  4 Te 2.78

Summary:
Raw formation energy: -5.5 kcal/mol of atoms
Distance to the lowest polymorph of the same formula: 0.081 eV/atom
DOS at the Fermi energy: 0.42 states/eV/atom
E_tot: -3.34 eV/atom

=====

Entry 10:
Compound: RbTe2S2
Source: the Alexandria database
Functional: GGA-PBE
Structure: optimized geometry

abc: 9.3113 9.3113 3.5250
angles: 90.00 90.00 90.00
Closest atoms and distances in Å follow each position.
Positions (direct):
Rb (0.0000, 0.0000, 0.0000)  2 Rb 3.53, 4 Te 3.70, 8 S 3.74
S (0.7347, 0.7653, 0.5000)  2 Te 2.58
S (0.2653, 0.2347, 0.5000)  2 Te 2.58
S (0.2347, 0.7347, 0.5000)  2 Te 2.58
S (0.7653, 0.2653, 0.5000)  2 Te 2.58
Te (0.3777, 0.8777, 0.0000)  2 S 2.58
Rb (0.5000, 0.5000, 0.0000)  2 Rb 3.53, 4 Te 3.70, 8 S 3.74
Te (0.8777, 0.6223, 0.0000)  2 S 2.58
Te (0.6223, 0.1223, 0.0000)  2 S 2.58
Te (0.1223, 0.3777, 0.0000)  2 S 2.58

Summary:
Raw formation energy: -2.9 kcal/mol of atoms
Distance to the lowest polymorph of the same formula: 0.194 eV/atom
DOS at the Fermi energy: 0.70 states/eV/atom
E_tot: -3.23 eV/atom

=====

Entry 11:
Compound: RbTe3S
Source: the Alexandria database
Functional: GGA-PBE
Structure: optimized geometry

abc: 5.4693 5.4693 5.4693
angles: 90.00 90.00 90.00
Closest atoms and distances in Å follow each position.
Positions (direct):
S (0.0000, 0.0000, 0.0000)  6 Te 2.73
Rb (0.5000, 0.5000, 0.5000)  12 Te 3.87
Te (0.5000, 0.0000, 0.0000)  2 S 2.73
Te (0.0000, 0.0000, 0.5000)  2 S 2.73
Te (0.0000, 0.5000, 0.0000)  2 S 2.73

Summary:
Raw formation energy: -1.4 kcal/mol of atoms
Distance to the lowest polymorph of the same formula: 0.000 eV/atom
DOS at the Fermi energy: 0.69 states/eV/atom
E_tot: -2.97 eV/atom

=====

Entry 12:
Compound: Rb8Te2S
Source: the Alexandria database
Functional: GGA-PBE
Structure: optimized geometry

abc: 5.9685 10.5927 10.2794
angles: 80.16 106.88 90.00
Closest atoms and distances in Å follow each position.
Positions (direct):
Rb (0.3178, 0.0623, 0.6357)  1 S 3.53, 3 Te 3.70-3.75
Rb (0.0627, 0.8431, 0.1254)  2 S 3.53, 1 Te 3.66, 1 Rb 3.77
Te (0.7486, 0.2479, 0.4972)  8 Rb 3.66-3.75
Rb (0.8152, 0.5577, 0.6304)  3 Te 3.72-3.74
Te (0.2514, 0.7521, 0.5028)  8 Rb 3.66-3.75
Rb (0.1848, 0.4423, 0.3696)  3 Te 3.72-3.74
Rb (0.6822, 0.9377, 0.3643)  1 S 3.53, 3 Te 3.70-3.75
Rb (0.5564, 0.2852, 0.1127)  1 S 3.40, 1 Te 3.73
Rb (0.9373, 0.1569, 0.8746)  2 S 3.53, 1 Te 3.66, 1 Rb 3.77
S (0.5000, 0.0000, 0.0000)  8 Rb 3.40-3.53
Rb (0.4436, 0.7148, 0.8873)  1 S 3.40, 1 Te 3.73

Summary:
Raw formation energy: -17.6 kcal/mol of atoms
DOS at the Fermi energy: 0.24 states/eV/atom
E_tot: -2.41 eV/atom

=====

- raw formation energy of number 4 (RbTe2S2)?
  -7.4 kcal/mol of atoms

=====

- What is the raw formation energy in the tenth record?
  -2.9 kcal/mol of atoms